No. 1
The following is a PBE-GGA calculation of crystalline ZrCdPd2 at its relaxed geometry, from Alexandria.

a b c (Å): 3.387 3.387 6.426
angles (deg): 90.00 90.00 90.00
Positions (direct):
Zr: 0.500 0.500 0.500
Pd: 0.000 0.000 0.739
Pd: 0.000 0.000 0.261
Cd: 0.500 0.500 0.000

No. 2
The following is a PBE-GGA calculation of crystalline ZrCd5Pd4 at its relaxed geometry, from Alexandria.

a b c (Å): 3.302 3.302 16.861
angles (deg): 90.00 90.00 90.00
Positions (direct):
Cd: 0.500 0.500 0.881
Cd: 0.500 0.500 0.691
Cd: 0.500 0.500 0.309
Cd: 0.500 0.500 0.119
Cd: 0.500 0.500 0.500
Zr: 0.000 0.000 0.000
Pd: 0.000 0.000 0.214
Pd: 0.000 0.000 0.405
Pd: 0.000 0.000 0.786
Pd: 0.000 0.000 0.595

No. 3
The following is a PBE-GGA calculation of crystalline ZrCdPd14 at its relaxed geometry, from Alexandria.

a b c (Å): 5.680 5.680 7.890
angles (deg): 90.00 90.00 90.00
Positions (direct):
Pd: 0.123 0.627 0.248
Pd: 0.123 0.123 0.248
Pd: 0.375 0.375 0.000
Pd: 0.627 0.123 0.752
Pd: 0.627 0.123 0.248
Pd: 0.627 0.627 0.248
Pd: 0.375 0.875 0.000
Pd: 0.375 0.875 0.500
Pd: 0.123 0.627 0.752
Pd: 0.875 0.875 0.000
Pd: 0.123 0.123 0.752
Pd: 0.875 0.375 0.500
Pd: 0.627 0.627 0.752
Pd: 0.875 0.375 0.000
Zr: 0.875 0.875 0.500
Cd: 0.375 0.375 0.500

No. 4
The following is a PBE-GGA calculation of crystalline ZrCdPd4 at its relaxed geometry, from Alexandria.

a b c (Å): 3.905 3.908 7.810
angles (deg): 90.00 90.00 90.00
Positions (direct):
Zr: 0.001 0.997 0.498
Pd: 0.001 0.497 0.739
Pd: 0.501 0.997 0.739
Pd: 0.001 0.497 0.257
Pd: 0.501 0.997 0.257
Cd: 0.501 0.497 0.998

No. 5
The following is a PBE-GGA calculation of crystalline Zr6CdPd12 at its relaxed geometry, from Alexandria.

a b c (Å): 7.055 7.055 7.055
angles (deg): 94.89 94.89 94.89
Positions (direct):
Pd: 0.039 0.127 0.373
Pd: 0.127 0.373 0.039
Pd: 0.461 0.512 0.210
Pd: 0.627 0.961 0.873
Pd: 0.512 0.210 0.461
Pd: 0.210 0.461 0.512
Pd: 0.373 0.039 0.127
Pd: 0.539 0.488 0.790
Pd: 0.790 0.539 0.488
Pd: 0.961 0.873 0.627
Pd: 0.488 0.790 0.539
Pd: 0.873 0.627 0.961
Zr: 0.156 0.763 0.314
Zr: 0.237 0.686 0.844
Zr: 0.763 0.314 0.156
Zr: 0.686 0.844 0.237
Zr: 0.314 0.156 0.763
Zr: 0.844 0.237 0.686
Cd: 0.000 0.000 0.000

No. 6
The following is a PBE-GGA calculation of crystalline ZrCdPd at its relaxed geometry, from Alexandria.

a b c (Å): 2.988 5.425 8.067
angles (deg): 111.24 90.00 105.99
Positions (direct):
Pd: 0.549 0.098 0.783
Pd: 0.451 0.902 0.217
Zr: 0.840 0.681 0.883
Zr: 0.160 0.319 0.117
Cd: 0.858 0.715 0.469
Cd: 0.142 0.285 0.531

No. 7
The following is a PBE-GGA calculation of crystalline ZrCdPd at its relaxed geometry, from Alexandria.

a b c (Å): 2.932 4.738 4.738
angles (deg): 120.00 90.00 90.00
Positions (direct):
Zr: 0.666 0.667 0.333
Pd: 0.167 0.333 0.667
Cd: 0.167 0.000 0.000

No. 8
The following is a PBE-GGA calculation of crystalline Zr3CdPd4 at its relaxed geometry, from Alexandria.

a b c (Å): 4.922 6.119 9.838
angles (deg): 90.00 90.00 90.00
Positions (direct):
Zr: 0.501 0.000 0.250
Zr: 0.000 0.000 0.000
Zr: 0.498 0.500 0.750
Zr: 0.499 0.000 0.750
Zr: 0.502 0.500 0.250
Zr: 0.000 0.000 0.500
Pd: 0.998 0.241 0.750
Pd: 0.500 0.241 0.500
Pd: 0.500 0.759 0.500
Pd: 0.500 0.759 0.000
Pd: 0.002 0.759 0.250
Pd: 0.002 0.241 0.250
Pd: 0.998 0.759 0.750
Pd: 0.500 0.241 0.000
Cd: 0.000 0.500 0.000
Cd: 0.000 0.500 0.500

Number 1: energy relative to the elements -553.9 meV/atom, density of states at the Fermi level 0.653 states/eV per atom. Number 2: energy relative to the elements -334.4 meV/atom, density of states at the Fermi level 0.554 states/eV per atom. Number 3: energy relative to the elements -265.9 meV/atom, density of states at the Fermi level 1.614 states/eV per atom. Number 4: energy relative to the elements -310.2 meV/atom, density of states at the Fermi level 0.380 states/eV per atom. Number 5: energy relative to the elements -515.4 meV/atom, density of states at the Fermi level 0.505 states/eV per atom. Number 6: energy relative to the elements -328.9 meV/atom, density of states at the Fermi level 0.869 states/eV per atom. Number 7: energy relative to the elements -380.4 meV/atom, density of states at the Fermi level 0.707 states/eV per atom. Number 8: energy relative to the elements -569.3 meV/atom, density of states at the Fermi level 0.829 states/eV per atom.